No. 1
VASP calculation (GGA-PBEsol) on a relaxed structure of AsBr3.

Lattice parameters (Å, degrees): 5.6660 5.6660 5.6660 90.00 90.00 90.00
With the nearest neighbours (Å) after each atom.
Element x y z (fractional)
1 As 0.0000 0.0000 0.0000  12 Br 3.17
2 As 0.5000 0.5000 0.5000  12 Br 3.17
3 Br 0.0000 0.2500 0.5000  2 Br 2.83, 4 As 3.17
4 Br 0.0000 0.7500 0.5000  2 Br 2.83, 4 As 3.17
5 Br 0.2500 0.5000 0.0000  2 Br 2.83, 4 As 3.17
6 Br 0.5000 0.0000 0.2500  2 Br 2.83, 4 As 3.17
7 Br 0.5000 0.0000 0.7500  2 Br 2.83, 4 As 3.17
8 Br 0.7500 0.5000 0.0000  2 Br 2.83, 4 As 3.17

Computed properties:
The space group is Pm-3n.

---

No. 2
VASP calculation (GGA-PBEsol) on a relaxed structure of AsBr3.

Lattice parameters (Å, degrees): 3.5266 3.5266 9.1125 90.00 90.00 120.00
With the nearest neighbours (Å) after each atom.
Element x y z (fractional)
1 As 0.0000 0.0000 0.0000  6 Br 2.77
2 Br 0.0000 0.0000 0.5000  12 Br 3.37-3.53
3 Br 0.3333 0.6667 0.2057  3 As 2.77
4 Br 0.3333 0.6667 0.7943  3 As 2.77

Computed properties:
The space group is P-6m2.

---

No. 3
VASP calculation (GGA-PBEsol) on a relaxed structure of As3Br2.

Lattice parameters (Å, degrees): 7.3421 6.6313 8.0545 59.05 50.77 70.19
With the nearest neighbours (Å) after each atom.
Element x y z (fractional)
1 As 0.0000 0.0000 0.0000  4 As 2.51-2.73
2 As 0.1944 0.3145 0.9207  2 As 2.51-2.73, 1 Br 2.52
3 As 0.2500 0.2500 0.2500  4 As 2.51-2.73
4 As 0.3145 0.1944 0.5704  2 As 2.51-2.73, 1 Br 2.52
5 As 0.3293 0.6796 0.0556  2 As 2.51-2.73, 1 Br 2.52
6 As 0.6796 0.3293 0.9355  2 As 2.51-2.73, 1 Br 2.52
7 Br 0.1477 0.6816 0.4450  1 As 2.52
8 Br 0.5243 0.8050 0.5684  1 As 2.52
9 Br 0.6816 0.1477 0.7257  1 As 2.52
10 Br 0.8050 0.5243 0.1023  1 As 2.52

Computed properties:
The space group is Fdd2.

---

No. 4
VASP calculation (GGA-PBEsol) on a relaxed structure of AsBr.

Lattice parameters (Å, degrees): 4.0782 4.0782 4.0782 60.00 60.00 60.00
With the nearest neighbours (Å) after each atom.
Element x y z (fractional)
1 As 0.0000 0.0000 0.0000  6 Br 2.88
2 Br 0.5000 0.5000 0.5000  6 As 2.88

Computed properties:
The energy above the most stable polymorph in this dataset is 748.3 meV per atom. The space group is Fm-3m.

---

No. 5
VASP calculation (GGA-PBEsol) on a relaxed structure of AsBr.

Lattice parameters (Å, degrees): 5.6824 5.6824 5.7867 99.78 99.78 37.76
With the nearest neighbours (Å) after each atom.
Element x y z (fractional)
1 As 0.2071 0.2071 0.3584  1 Br 2.39, 2 As 2.52
2 As 0.7929 0.7929 0.6416  1 Br 2.39, 2 As 2.52
3 Br 0.3937 0.3937 0.1887  1 As 2.39
4 Br 0.6063 0.6063 0.8113  1 As 2.39

Computed properties:
The energy above the most stable polymorph in this dataset is 20.4 meV per atom. The space group is C2/m.

---

No. 6
VASP calculation (GGA-PBEsol) on a relaxed structure of AsBr.

Lattice parameters (Å, degrees): 4.0825 4.0825 8.1091 90.00 90.00 126.25
With the nearest neighbours (Å) after each atom.
Element x y z (fractional)
1 As 0.2500 0.7500 0.9039  2 As 2.42
2 As 0.7500 0.2500 0.0961  2 As 2.42
3 Br 0.2500 0.7500 0.3493  2 As 2.76, 2 Br 3.06
4 Br 0.7500 0.2500 0.6507  2 As 2.76, 2 Br 3.06

Computed properties:
The energy above the most stable polymorph in this dataset is 464.6 meV per atom. The space group is Cmme.

---

No. 7
VASP calculation (GGA-PBEsol) on a relaxed structure of AsBr3.

Lattice parameters (Å, degrees): 7.9958 9.7166 6.6229 90.00 90.00 90.00
With the nearest neighbours (Å) after each atom.
Element x y z (fractional)
1 As 0.0132 0.2500 0.0290  3 Br 2.37
2 As 0.4868 0.7500 0.5290  3 Br 2.37
3 As 0.5132 0.2500 0.4710  3 Br 2.37
4 As 0.9868 0.7500 0.9710  3 Br 2.37
5 Br 0.1023 0.2500 0.6879  1 As 2.37
6 Br 0.1791 0.0686 0.1594  1 As 2.37
7 Br 0.1791 0.4314 0.1594  1 As 2.37
8 Br 0.3209 0.5686 0.6594  1 As 2.37
9 Br 0.3209 0.9314 0.6594  1 As 2.37
10 Br 0.3977 0.7500 0.1879  1 As 2.37
11 Br 0.6023 0.2500 0.8121  1 As 2.37
12 Br 0.6791 0.0686 0.3406  1 As 2.37
13 Br 0.6791 0.4314 0.3406  1 As 2.37
14 Br 0.8209 0.5686 0.8406  1 As 2.37
15 Br 0.8209 0.9314 0.8406  1 As 2.37
16 Br 0.8977 0.7500 0.3121  1 As 2.37

Computed properties:
The space group is Pnma.

---

No. 8
VASP calculation (GGA-PBEsol) on a relaxed structure of As2Br.

Lattice parameters (Å, degrees): 5.5614 5.5614 8.5573 104.30 104.30 38.15
With the nearest neighbours (Å) after each atom.
Element x y z (fractional)
1 As 0.1131 0.1131 0.2542  1 Br 2.40, 2 As 2.51
2 As 0.3776 0.3776 0.9449  3 As 2.50-2.51
3 As 0.6224 0.6224 0.0551  3 As 2.50-2.51
4 As 0.8869 0.8869 0.7458  1 Br 2.40, 2 As 2.51
5 Br 0.3481 0.3481 0.3641  1 As 2.40
6 Br 0.6519 0.6519 0.6359  1 As 2.40

Computed properties:
The energy above the most stable polymorph in this dataset is 14.3 meV per atom. The space group is C2/m.

---

No. 9
VASP calculation (GGA-PBEsol) on a relaxed structure of CaAsCBr2.

Lattice parameters (Å, degrees): 5.4393 5.4393 5.9044 90.00 90.00 90.00
With the nearest neighbours (Å) after each atom.
Element x y z (fractional)
1 Ca 0.0000 0.0000 0.0000  4 Br 2.72, 2 As 2.95
2 As 0.0000 0.0000 0.5000  2 Ca 2.95
3 C 0.5000 0.5000 0.5000  4 As 3.85, 8 Br 4.01
4 Br 0.0000 0.5000 0.0000  2 Ca 2.72
5 Br 0.5000 0.0000 0.0000  2 Ca 2.72

Computed properties:
The space group is P4/mmm.

---

No. 10
VASP calculation (GGA-PBEsol) on a relaxed structure of AsCBr2Cl.

Lattice parameters (Å, degrees): 4.4798 4.4798 4.6647 90.00 90.00 90.00
With the nearest neighbours (Å) after each atom.
Element x y z (fractional)
1 As 0.0000 0.0000 0.0000  2 C 2.33
2 C 0.0000 0.0000 0.5000  4 Br 2.24, 2 As 2.33
3 Br 0.0000 0.5000 0.5000  2 C 2.24
4 Br 0.5000 0.0000 0.5000  2 C 2.24
5 Cl 0.5000 0.5000 0.0000  4 As 3.17, 8 Br 3.23

Computed properties:
The space group is P4/mmm.

---

No. 11
VASP calculation (GGA-PBEsol) on a relaxed structure of As2CBrCl.

Lattice parameters (Å, degrees): 4.5029 4.5029 4.4300 90.00 90.00 90.00
With the nearest neighbours (Å) after each atom.
Element x y z (fractional)
1 As 0.0000 0.5000 0.0000  2 C 2.25
2 As 0.5000 0.0000 0.0000  2 C 2.25
3 C 0.0000 0.0000 0.0000  2 Br 2.22, 4 As 2.25
4 Br 0.0000 0.0000 0.5000  2 C 2.22
5 Cl 0.5000 0.5000 0.5000  8 As 3.16, 4 Br 3.18

Computed properties:
The space group is P4/mmm.

---

No. 12
VASP calculation (GGA-PBEsol) on a relaxed structure of CuAs2CBr.

Lattice parameters (Å, degrees): 4.6129 4.6129 4.7764 90.00 90.00 90.00
With the nearest neighbours (Å) after each atom.
Element x y z (fractional)
1 Cu 0.0000 0.0000 0.0000  4 As 2.31, 2 Br 2.39
2 As 0.0000 0.5000 0.0000  2 Cu 2.31
3 As 0.5000 0.0000 0.0000  2 Cu 2.31
4 C 0.5000 0.5000 0.5000  4 Br 3.26, 8 As 3.32
5 Br 0.0000 0.0000 0.5000  2 Cu 2.39

Computed properties:
The space group is P4/mmm.

---

No. 13
VASP calculation (GGA-PBEsol) on a relaxed structure of Cu2AsCBr.

Lattice parameters (Å, degrees): 4.6912 4.6912 3.8788 90.00 90.00 90.00
With the nearest neighbours (Å) after each atom.
Element x y z (fractional)
1 Cu 0.0000 0.5000 0.0000  2 As 2.35
2 Cu 0.5000 0.0000 0.0000  2 As 2.35
3 As 0.0000 0.0000 0.0000  2 C 1.94
4 C 0.0000 0.0000 0.5000  2 As 1.94
5 Br 0.5000 0.5000 0.5000  8 Cu 3.04, 4 C 3.32

Computed properties:
The space group is P4/mmm.

---

No. 14
VASP calculation (GGA-PBEsol) on a relaxed structure of CuAsCBr2.

Lattice parameters (Å, degrees): 5.0175 5.0175 3.8422 90.00 90.00 90.00
With the nearest neighbours (Å) after each atom.
Element x y z (fractional)
1 Cu 0.0000 0.0000 0.0000  8 Br 3.16
2 As 0.5000 0.5000 0.0000  2 C 1.92
3 C 0.5000 0.5000 0.5000  2 As 1.92
4 Br 0.0000 0.5000 0.5000  2 C 2.51
5 Br 0.5000 0.0000 0.5000  2 C 2.51

Computed properties:
The space group is P4/mmm.

---

No. 15
VASP calculation (GGA-PBEsol) on a relaxed structure of InAsCBr2.

Lattice parameters (Å, degrees): 5.4204 5.4204 3.8959 90.00 90.00 90.00
With the nearest neighbours (Å) after each atom.
Element x y z (fractional)
1 In 0.0000 0.0000 0.0000  8 Br 3.34
2 As 0.5000 0.5000 0.0000  2 C 1.95
3 C 0.5000 0.5000 0.5000  2 As 1.95
4 Br 0.0000 0.5000 0.5000  2 C 2.71
5 Br 0.5000 0.0000 0.5000  2 C 2.71

Computed properties:
The space group is P4/mmm.

---

No. 16
VASP calculation (GGA-PBEsol) on a relaxed structure of InAs2CBr.

Lattice parameters (Å, degrees): 5.2165 5.2165 5.2997 90.00 90.00 90.00
With the nearest neighbours (Å) after each atom.
Element x y z (fractional)
1 In 0.0000 0.0000 0.0000  4 As 2.61, 2 Br 2.65
2 As 0.0000 0.5000 0.0000  2 In 2.61
3 As 0.5000 0.0000 0.0000  2 In 2.61
4 C 0.5000 0.5000 0.5000  4 Br 3.69, 8 As 3.72
5 Br 0.0000 0.0000 0.5000  2 In 2.65

Computed properties:
The space group is P4/mmm.

---

No. 17
VASP calculation (GGA-PBEsol) on a relaxed structure of KAsCBr2.

Lattice parameters (Å, degrees): 5.4961 5.4961 3.8979 90.00 90.00 90.00
With the nearest neighbours (Å) after each atom.
Element x y z (fractional)
1 K 0.0000 0.0000 0.0000  8 Br 3.37
2 As 0.5000 0.5000 0.0000  2 C 1.95
3 C 0.5000 0.5000 0.5000  2 As 1.95
4 Br 0.0000 0.5000 0.5000  2 C 2.75
5 Br 0.5000 0.0000 0.5000  2 C 2.75

Computed properties:
The space group is P4/mmm.

---

No. 18
VASP calculation (GGA-PBEsol) on a relaxed structure of LaAs2CBr.

Lattice parameters (Å, degrees): 5.7926 5.7926 5.6294 90.00 90.00 90.00
With the nearest neighbours (Å) after each atom.
Element x y z (fractional)
1 La 0.0000 0.0000 0.0000  2 Br 2.81, 4 As 2.90
2 As 0.0000 0.5000 0.0000  2 La 2.90
3 As 0.5000 0.0000 0.0000  2 La 2.90
4 C 0.5000 0.5000 0.5000  8 As 4.04, 4 Br 4.10
5 Br 0.0000 0.0000 0.5000  2 La 2.81

Computed properties:
The space group is P4/mmm.

---

No. 19
VASP calculation (GGA-PBEsol) on a relaxed structure of AsPCBr2.

Lattice parameters (Å, degrees): 4.4325 4.4325 4.4974 90.00 90.00 90.00
With the nearest neighbours (Å) after each atom.
Element x y z (fractional)
1 As 0.0000 0.0000 0.0000  2 C 2.25
2 P 0.5000 0.5000 0.0000  4 As 3.13, 8 Br 3.16
3 C 0.0000 0.0000 0.5000  4 Br 2.22, 2 As 2.25
4 Br 0.0000 0.5000 0.5000  2 C 2.22
5 Br 0.5000 0.0000 0.5000  2 C 2.22

Computed properties:
The energy above the most stable polymorph in this dataset is 0.0 meV per atom. The space group is P4/mmm.

---

No. 20
VASP calculation (GGA-PBEsol) on a relaxed structure of AsPCBr2.

Lattice parameters (Å, degrees): 4.8577 4.8577 4.9787 90.00 90.00 90.00
With the nearest neighbours (Å) after each atom.
Element x y z (fractional)
1 As 0.0000 0.0000 0.0000  2 P 2.49
2 P 0.0000 0.0000 0.5000  4 Br 2.43, 2 As 2.49
3 C 0.5000 0.5000 0.0000  4 As 3.43, 8 Br 3.48
4 Br 0.0000 0.5000 0.5000  2 P 2.43
5 Br 0.5000 0.0000 0.5000  2 P 2.43

Computed properties:
The energy above the most stable polymorph in this dataset is 412.6 meV per atom. The space group is P4/mmm.

---

The magnetization results, record by record, are as follows: 0.0, 0.0, 0.0, 0.0, 0.0, 0.0, 0.0, 0.0, 3.8, 0.0, 0.0, 1.1, 0.5, 0.0, 0.0, 0.3, 0.0, 0.3, 0.0, 0.9 Bohr magnetons per cell.
The uncorrected energy results, record by record, are as follows: -2.274, -2.551, -3.833, -2.940, -3.668, -3.224, -3.061, -4.128, -2.927, -3.045, -3.652, -3.353, -3.915, -3.251, -3.477, -2.901, -3.543, -3.812, -3.497, -3.084 eV/atom.
The formation energy (no corrections) results, record by record, are as follows: 0.40, 0.13, -0.02, 0.55, -0.18, 0.26, -0.38, -0.10, 1.20, 1.05, 1.09, 1.86, 1.14, 1.31, 0.82, 2.04, 0.38, 1.60, 1.36, 1.77 eV/atom.